Record 1
Cs2InGa2Sb4: optimized geometry, PBE.

The calculation puts the calculated volume at 653 Å³/cell. The density of states at the Fermi level comes out at 0.44 states/eV per atom. The value obtained for the calculated density is 5.12 g/cm³.

The structure belongs to space group C2/m (No. 12); the cell edges are 17.8938, 4.2909 and 8.8877 Å and the angles 90.00°, 106.95° and 90.00°. The asymmetric unit holds Cs at (0.1322, 0.0000, 0.0426), In at (0.0000, 0.0000, 0.5000), Ga at (0.1706, 0.5000, 0.4662), Sb at (0.0176, 0.5000, 0.2839) and Sb at (0.2068, 0.0000, 0.6673).

Record 2
Lu2Pt: optimized geometry, PBE.

The formation energy is -1.03 eV/atom. The calculation puts the calculated volume at 282 Å³/cell. The density of states at the Fermi level comes out at 0.85 states/eV per atom. The value obtained for the calculated density is 12.84 g/cm³.

The structure belongs to space group Pnma (No. 62); the cell edges are 6.9984, 4.6907 and 8.5864 Å and the angles 90.00°, 90.00° and 90.00°. The asymmetric unit holds Lu at (0.0120, 0.2500, 0.1678), Lu at (0.1444, 0.2500, 0.5778) and Pt at (0.2414, 0.2500, 0.9033).

Record 3
Hf3Ga3Cu: optimized geometry, PBE.

The formation energy is -0.46 eV/atom. The calculation puts the calculated volume at 497 Å³/cell. The density of states at the Fermi level comes out at 0.71 states/eV per atom. The value obtained for the calculated density is 10.80 g/cm³.

The structure belongs to space group C2/m (No. 12); the cell edges are 10.0422, 3.9960 and 13.1139 Å and the angles 90.00°, 109.20° and 90.00°. The asymmetric unit holds Hf at (0.0228, 0.0000, 0.3755), Hf at (0.1057, 0.0000, 0.9209), Hf at (0.2397, 0.0000, 0.2241), Ga at (0.0229, 0.5000, 0.2304), Ga at (0.1175, 0.5000, 0.0739), Ga at (0.1343, 0.5000, 0.5447) and Cu at (0.2368, 0.5000, 0.3899).

Record 4
Cs2Li3SnI8: optimized geometry, PBE.

The calculation puts the calculated volume at 2052 Å³/cell. The density of states at the Fermi level comes out at 0.09 states/eV per atom. The value obtained for the calculated density is 3.45 g/cm³.

The structure belongs to space group R3m (No. 160, hexagonal axes); the cell edges are 9.0573, 9.0573 and 28.8769 Å and the angles 90.00°, 90.00° and 120.00°. The asymmetric unit holds Cs at (0.0000, 0.0000, 0.0000), Cs at (0.0000, 0.0000, 0.3481), Li at (0.0779, 0.5390, 0.8617), Sn at (0.0000, 0.0000, 0.7914), I at (0.0000, 0.0000, 0.1281), I at (0.0000, 0.0000, 0.6932), I at (0.0426, 0.5213, 0.1366) and I at (0.1738, 0.3476, 0.9156).

Record 5
Ac2Ge5Pd: optimized geometry, PBE.

The formation energy is -0.53 eV/atom. The calculation puts the calculated volume at 391 Å³/cell. The density of states at the Fermi level comes out at 0.31 states/eV per atom. The value obtained for the calculated density is 7.84 g/cm³.

The structure belongs to space group I4mm (No. 107); the cell edges are 6.1778, 6.1778 and 10.2543 Å and the angles 90.00°, 90.00° and 90.00°. The asymmetric unit holds Ac at (0.0000, 0.5000, 0.0000), Ge at (0.0000, 0.0000, 0.4164), Ge at (0.2269, 0.2269, 0.2412) and Pd at (0.0000, 0.0000, 0.8293).

Record 6
Nd6Tl3O: optimized geometry, PBE.

The calculation puts the calculated volume at 590 Å³/cell. The density of states at the Fermi level comes out at 1.00 states/eV per atom. The value obtained for the calculated density is 8.41 g/cm³.

The structure belongs to space group P2_1/c (No. 14); the cell edges are 6.6967, 8.4180 and 11.9487 Å and the angles 90.00°, 118.84° and 90.00°. The asymmetric unit holds Nd at (0.0747, 0.0503, 0.2261), Nd at (0.1687, 0.7259, 0.0581), Nd at (0.3870, 0.1413, 0.0490), Tl at (0.3279, 0.1145, 0.7352), Tl at (0.5000, 0.0000, 0.5000) and O at (0.0000, 0.0000, 0.0000).

Record 7
TbCe2Tl: optimized geometry, PBE.

The formation energy is -0.16 eV/atom. The calculation puts the calculated volume at 226 Å³/cell. The density of states at the Fermi level comes out at 1.88 states/eV per atom. The value obtained for the calculated density is 9.47 g/cm³.

The structure belongs to space group P2_1/m (No. 11); the cell edges are 4.5810, 4.3228 and 11.5468 Å and the angles 90.00°, 99.37° and 90.00°. The asymmetric unit holds Tb at (0.1990, 0.2500, 0.3925), Ce at (0.1129, 0.7500, 0.1167), Ce at (0.4983, 0.7500, 0.8881) and Tl at (0.3176, 0.2500, 0.6692).

Record 8
NiSbW2: optimized geometry, PBE.

The calculation puts the calculated volume at 134 Å³/cell. The density of states at the Fermi level comes out at 0.67 states/eV per atom. The value obtained for the calculated density is 13.61 g/cm³.

The structure belongs to space group Cmm2 (No. 35); the cell edges are 3.4393, 4.6651 and 8.3367 Å and the angles 90.00°, 90.00° and 90.00°. The asymmetric unit holds Ni at (0.0000, 0.0000, 0.0000), Sb at (0.0000, 0.5000, 0.2489), W at (0.0000, 0.0000, 0.5331) and W at (0.0000, 0.5000, 0.7795).

Record 9
NpUAsP: optimized geometry, PBE.

The formation energy is -0.79 eV/atom. The calculation puts the calculated volume at 92 Å³/cell. The density of states at the Fermi level comes out at 3.23 states/eV per atom. The value obtained for the calculated density is 10.44 g/cm³.

The structure belongs to space group P4/mmm (No. 123); the cell edges are 4.0254, 4.0254 and 5.7034 Å and the angles 90.00°, 90.00° and 90.00°. The asymmetric unit holds Np at (0.0000, 0.0000, 0.0000), U at (0.5000, 0.5000, 0.5000), As at (0.5000, 0.5000, 0.0000) and P at (0.0000, 0.0000, 0.5000).

Record 10
Ca2NdIn: optimized geometry, PBE.

The formation energy is -0.09 eV/atom. The calculation puts the calculated volume at 279 Å³/cell. The density of states at the Fermi level comes out at 1.10 states/eV per atom. The value obtained for the calculated density is 4.04 g/cm³.

The structure belongs to space group P2_1/m (No. 11); the cell edges are 6.0192, 3.5853 and 12.9885 Å and the angles 90.00°, 95.50° and 90.00°. The asymmetric unit holds Ca at (0.1840, 0.2500, 0.1454), Ca at (0.2952, 0.2500, 0.7173), Nd at (0.2375, 0.2500, 0.4399) and In at (0.3222, 0.7500, 0.9393).

Record 11
Ac5LaIn4: optimized geometry, PBE.

The formation energy is -0.32 eV/atom. The calculation puts the calculated volume at 359 Å³/cell. The density of states at the Fermi level comes out at 1.15 states/eV per atom. The value obtained for the calculated density is 8.01 g/cm³.

The structure belongs to space group P4/mmm (No. 123); the cell edges are 3.8945, 3.8945 and 23.6763 Å and the angles 90.00°, 90.00° and 90.00°. The asymmetric unit holds Ac at (0.0000, 0.0000, 0.0000), Ac at (0.0000, 0.0000, 0.1922), Ac at (0.0000, 0.0000, 0.3835), La at (0.5000, 0.5000, 0.5000), In at (0.5000, 0.5000, 0.0963) and In at (0.5000, 0.5000, 0.2884).

Record 12
Dy3TmHg: optimized geometry, PBE.

The formation energy is -0.12 eV/atom. The calculation puts the calculated volume at 599 Å³/cell. The density of states at the Fermi level comes out at 1.03 states/eV per atom. The value obtained for the calculated density is 9.50 g/cm³.

The structure belongs to space group C2/m (No. 12); the cell edges are 11.1017, 7.3271 and 7.8694 Å and the angles 90.00°, 110.59° and 90.00°. The asymmetric unit holds Dy at (0.0595, 0.0000, 0.2382), Dy at (0.1599, 0.2505, 0.6401), Tm at (0.0607, 0.5000, 0.2409) and Hg at (0.2458, 0.5000, 0.0003).

Going through the records in order, we get magnetic moment values of 0.0, 0.0, 0.0, 0.0, 0.0, 0.0, 0.0, 0.0, 6.2, 0.0, 0.0, 0.0 Bohr magnetons per cell.
Going through the records in order, we get energy values of -29.03, -18.16, -46.22, -37.82, -40.72, -47.77, -19.51, -34.05, -37.45, -11.89, -39.63, -19.18 eV per formula unit.